11
Lattice="4.467 0.000 0.000 -2.234 3.869 0.000 0.000 0.000 17.559" Properties=species:S:1:pos:R:3 comment="Ac3La2Cu2Pd4 GGA-PBE optimized geometry" e_form_ev_per_atom=-0.576 dft_energy_ev_per_atom=-5.23 pbc="T T T"
Ac 0.000 0.000 0.000
Ac 0.000 0.000 4.095
Ac 0.000 0.000 13.465
La 0.000 2.579 10.177
La 2.234 1.290 7.382
Cu 0.000 2.579 2.057
Cu 2.234 1.290 15.503
Pd 0.000 2.579 5.994
Pd 0.000 2.579 15.472
Pd 2.234 1.290 2.087
Pd 2.234 1.290 11.565